4
Lattice="2.757 0.011 0.000 -0.010 2.757 0.000 0.000 0.000 7.598" Properties=species:S:1:pos:R:3 comment="CoRh2Au | the Alexandria database | PBE-GGA | optimized geometry" magnetic_moment_mub_per_fu=1.8 de_polymorph_mev_per_atom=15 formation_enthalpy_0k_kj_per_mol_fu=54 sg=P4mm energy_ev_per_atom=-6.133 dos_ef_per_ev_cell=5.87 pbc="T T T"
Au 0.000 0.000 3.899
Co 1.373 1.384 5.825
Rh 0.000 0.000 7.500
Rh 1.373 1.384 1.771